Record 1
Here is a relaxed structure of SbHIN2 from Alexandria via LeMat-Bulk. Energies are from PBE.

Structure (POSCAR):
```
SbHIN2
1.0
3.939 0.000 0.000
0.000 3.939 0.000
0.000 0.000 6.863
H N I Sb
1 2 1 1
Cartesian
1.969 1.969 3.431 H
1.969 0.000 0.000 N
0.000 1.969 0.000 N
0.000 0.000 3.431 I
0.000 0.000 0.000 Sb
```

Computed properties:
Uncorrected energy   -3.572 eV/atom



Record 2
Here is a relaxed structure of ScHI2N from Alexandria via LeMat-Bulk. Energies are from PBE.

Structure (POSCAR):
```
ScHI2N
1.0
-0.907 3.926 4.359
-5.330 -2.394 1.047
1.648 -2.524 2.617
I N Sc H
2 1 1 1
Cartesian
-0.453 1.963 2.179 I
-2.665 -1.197 0.524 I
0.824 -1.262 1.308 N
0.000 0.000 0.000 Sc
-2.294 -0.496 4.011 H
```

Computed properties:
Uncorrected energy   -3.880 eV/atom



Record 3
Here is a relaxed structure of ScHI2N from Alexandria via LeMat-Bulk. Energies are from PBE.

Structure (POSCAR):
```
ScHI2N
1.0
5.267 0.000 0.000
0.000 5.267 0.000
0.000 0.000 3.318
I N Sc H
2 1 1 1
Cartesian
2.634 0.000 0.000 I
0.000 2.634 0.000 I
0.000 0.000 1.659 N
2.634 2.634 1.659 Sc
0.000 0.000 0.000 H
```

Computed properties:
Uncorrected energy   -3.430 eV/atom



Record 4
Here is a relaxed structure of SiHI2N from Alexandria via LeMat-Bulk. Energies are from PBE.

Structure (POSCAR):
```
SiHI2N
1.0
-5.450 -2.173 -1.692
2.530 -2.469 -4.978
0.574 -2.716 1.639
Si N H I
1 1 1 2
Cartesian
0.000 0.000 0.000 Si
0.287 -1.358 0.819 N
-1.173 -3.679 -2.516 H
1.265 -1.235 -2.489 I
-2.725 -1.087 -0.846 I
```

Computed properties:
Uncorrected energy   -3.478 eV/atom



- Among the records above, which one has the lowest uncorrected energy?
  number 2



Copy entry 1 word for word.
Here is a relaxed structure of SbHIN2 from Alexandria via LeMat-Bulk. Energies are from PBE.

Structure (POSCAR):
```
SbHIN2
1.0
3.939 0.000 0.000
0.000 3.939 0.000
0.000 0.000 6.863
H N I Sb
1 2 1 1
Cartesian
1.969 1.969 3.431 H
1.969 0.000 0.000 N
0.000 1.969 0.000 N
0.000 0.000 3.431 I
0.000 0.000 0.000 Sb
```

Computed properties:
Uncorrected energy   -3.572 eV/atom